VASP calculation (PBE-GGA) on an optimized crystal structure of NpCrTc2.

Structure (extended XYZ):
```
4
Lattice="2.952 0.000 0.000 0.000 2.952 0.000 0.000 0.000 7.113" Properties=species:S:1:pos:R:3 pbc="T T T"
Np 0.000 0.000 0.000
Cr 0.000 0.000 3.557
Tc 1.476 1.476 2.077
Tc 1.476 1.476 5.036
```

DOS(E_F) (states/eV per cell): 5.93

VASP calculation (PBE-GGA) on an optimized crystal structure of Pu3Cu2Au4.

Structure (extended XYZ):
```
9
Lattice="5.176 -2.396 0.000 5.176 2.396 0.000 -4.771 0.000 7.411" Properties=species:S:1:pos:R:3 pbc="T T T"
Pu 0.000 0.000 0.000
Pu 1.895 0.000 2.465
Pu 3.686 0.000 4.946
Cu 0.583 0.000 5.306
Cu 4.998 0.000 2.105
Au -1.164 0.000 2.905
Au -1.502 0.000 6.995
Au 7.082 0.000 0.416
Au 6.745 0.000 4.505
```

DOS(E_F) (states/eV per cell): 28.54

no.,E (hartree per atom),ΔE_f (eV per atom)
1,-0.391,0.18
2,-0.275,-0.34